Rb2TiMoF6: relaxed, PBE+U.

POSCAR file:
```
Rb2TiMoF6
1.0
-1.0741 -3.8763 -4.6763
6.0739 -0.7129 -0.8041
2.4749 -5.6735 0.0663
F Mo Ti Rb
6 1 1 2
direct
0.2593 0.7407 0.0000
0.2593 0.2593 0.0000
0.7407 0.7407 0.0000
0.7407 0.2593 0.0000
0.2463 0.2463 0.5074
0.7537 0.7537 0.4926
0.0000 0.0000 0.0000
0.5000 0.5000 0.0000
0.2500 0.7500 0.5000
0.7500 0.2500 0.5000
```

Values from the calculation:
* DFT total energy: -52.7 eV per cell
* symmetry: I4/mmm